Here is a PBEsol-optimized structure of BaTcW2 from Alexandria. Energies are from meta-GGA SCAN.

```
BaTcW2
1.0
-2.8447 -1.1070 0.2965
0.5840 -0.7175 2.9240
-2.7549 7.7349 2.4482
W Tc Ba
2 1 1
direct
0.0000 0.0000 0.6765 W
0.0000 0.0000 0.3235 W
0.5000 0.5000 0.5000 Tc
0.5000 0.5000 0.0000 Ba
```

Summary:
* total magnetization: 0.000 μB per formula unit
* DFT formation energy: 3.92 eV/f.u.
* volume: 80.6 Å³/cell
* space-group type: P4/mmm, No. 123
* excess energy over the best structure of this formula in the dataset: 6 meV/atom